a.
The following is a DFT calculation (PBE-GGA) of Cs2KTeBr6 after structural relaxation.

The structure in extended XYZ format:
```
10
Lattice="-2.838 -6.456 -4.400 4.494 2.480 -6.538 5.771 -5.554 -3.424" Properties=species:S:1:pos:R:3 pbc="T T T"
Br 2.800 0.415 -6.044
Br 3.258 -3.741 -4.464
Br 0.383 -0.919 -2.527
Br 4.169 -5.789 -9.898
Br -1.144 -4.391 -4.894
Br 1.273 -3.057 -8.410
K 0.828 -1.988 -5.469
Te 0.000 0.000 0.000
Cs 1.880 -6.999 -6.646
Cs 5.546 -2.531 -7.715
```

SG ... I4/mmm
Total magnetization ... 1.00 Bohr magnetons per cell
Crystal system ... tetragonal

=====

b.
The following is a DFT calculation (PBE-GGA) of Cs2KTeBr6 after structural relaxation.

The structure in extended XYZ format:
```
20
Lattice="-1.207 -7.766 -1.976 5.007 -5.720 2.807 -7.750 -6.268 12.750" Properties=species:S:1:pos:R:3 pbc="T T T"
Br -4.844 -9.422 6.753
Br -0.191 -8.572 0.573
Br -1.710 -7.358 5.369
Br -6.784 -12.178 10.680
Br -2.240 -12.396 8.213
Br -1.613 -8.358 9.240
Br 2.247 -11.357 1.939
Br 2.834 -7.576 2.901
Br 0.894 -10.332 6.828
Br -3.759 -11.182 13.008
Br -6.196 -8.397 11.642
Br -2.337 -11.396 4.341
K -4.192 -10.313 9.857
K 0.242 -9.441 3.724
Te 0.000 0.000 0.000
Te -1.975 -9.877 6.791
Cs -4.403 -15.099 12.178
Cs 0.089 -14.216 5.966
Cs 0.453 -4.655 1.403
Cs -4.038 -5.538 7.615
```

SG ... R-3m
Total magnetization ... 0.00 Bohr magnetons per cell
Crystal system ... trigonal

=====

Which structure is most stable? a, by 24 meV/atom over the runner-up.

=====

a.
The following is a DFT calculation (PBE-GGA) of CsLa3Br after structural relaxation.

The structure in extended XYZ format:
```
5
Lattice="-1.676 1.899 -5.408 3.639 -4.000 -2.532 -4.428 -4.006 -0.035" Properties=species:S:1:pos:R:3 pbc="T T T"
Cs 0.000 0.000 0.000
La -2.214 -2.003 -0.017
La 1.820 -2.000 -1.266
La -0.838 0.949 -2.704
Br -1.232 -3.054 -3.987
```

SG ... Pm-3m
Total magnetization ... 0.00 Bohr magnetons per cell
Crystal system ... cubic

=====

b.
The following is a DFT calculation (PBE-GGA) of CsLa3Br after structural relaxation.

The structure in extended XYZ format:
```
5
Lattice="-1.627 3.698 4.321 -5.523 0.045 -2.118 -1.356 -4.617 3.440" Properties=species:S:1:pos:R:3 pbc="T T T"
La -2.761 0.022 -1.059
La -0.678 -2.308 1.720
La -0.813 1.849 2.160
Cs -4.253 -0.437 2.822
Br 0.000 0.000 0.000
```

SG ... Pm-3m
Total magnetization ... 0.00 Bohr magnetons per cell
Crystal system ... cubic

=====

Which structure is most stable? b, by 870 meV/atom over the runner-up.

=====

a.
The following is a DFT calculation (PBE-GGA) of Cs2LaScBr after structural relaxation.

The structure in extended XYZ format:
```
5
Lattice="-3.296 -1.685 6.573 2.130 -4.915 -0.192 6.087 2.494 3.692" Properties=species:S:1:pos:R:3 pbc="T T T"
Cs 3.044 1.247 1.846
Cs -1.648 -0.843 3.287
Sc 1.065 -2.457 -0.096
La 0.000 0.000 0.000
Br 2.461 -2.053 5.036
```

SG ... P4/mmm
Total magnetization ... 0.00 Bohr magnetons per cell
Crystal system ... tetragonal

=====

b.
The following is a DFT calculation (PBE-GGA) of Cs2LaScBr after structural relaxation.

The structure in extended XYZ format:
```
5
Lattice="-3.929 -4.220 -3.721 3.829 -1.178 -2.708 1.457 -5.147 4.299" Properties=species:S:1:pos:R:3 pbc="T T T"
Cs -1.964 -2.110 -1.860
Cs 0.728 -2.573 2.150
Br 1.915 -0.589 -1.354
Sc 0.000 0.000 0.000
La 0.679 -5.272 -1.065
```

SG ... P4/mmm
Total magnetization ... 1.13 Bohr magnetons per cell
Crystal system ... tetragonal

=====

Which structure is most stable? a, by 186 meV/atom over the runner-up.

=====

a.
The following is a DFT calculation (PBE-GGA) of Cs2LiBr after structural relaxation.

The structure in extended XYZ format:
```
4
Lattice="4.522 0.000 0.000 0.000 4.522 0.000 0.000 0.000 9.987" Properties=species:S:1:pos:R:3 pbc="T T T"
Cs 0.000 0.000 7.877
Cs 0.000 0.000 2.110
Br 2.261 2.261 0.000
Li 2.261 2.261 4.994
```

SG ... P4/mmm
Total magnetization ... 0.00 Bohr magnetons per cell
Crystal system ... tetragonal

=====

b.
The following is a DFT calculation (PBE-GGA) of Cs2LiBr after structural relaxation.

The structure in extended XYZ format:
```
4
Lattice="-1.014 4.011 5.226 -6.197 1.806 1.662 -2.796 -2.403 5.553" Properties=species:S:1:pos:R:3 pbc="T T T"
Br -5.003 1.707 6.221
Li 0.000 0.000 0.000
Cs -7.505 2.561 9.331
Cs -2.502 0.854 3.110
```

SG ... Fm-3m
Total magnetization ... 0.00 Bohr magnetons per cell
Crystal system ... cubic

=====

Which structure is most stable? a, by 123 meV/atom over the runner-up.

=====

a.
The following is a DFT calculation (PBE-GGA) of CsLi3Br4 after structural relaxation.

The structure in extended XYZ format:
```
16
Lattice="7.388 0.000 0.000 0.000 9.600 0.000 0.000 0.000 7.255" Properties=species:S:1:pos:R:3 pbc="T T T"
Li 3.632 7.239 4.871
Li 0.043 4.800 5.721
Li 7.326 2.439 2.383
Li 7.326 7.161 2.383
Li 3.736 0.000 1.533
Li 3.632 2.361 4.871
Br 3.594 0.000 6.198
Br 2.390 7.752 2.715
Br 6.084 6.648 4.539
Br 6.084 2.952 4.539
Br 6.289 0.000 1.869
Br 2.595 4.800 5.386
Br 2.390 1.848 2.715
Br 7.288 4.800 1.057
Cs 0.080 0.000 5.685
Cs 3.774 4.800 1.570
```

SG ... Pmn2_1
Total magnetization ... 0.00 Bohr magnetons per cell
Crystal system ... orthorhombic

=====

b.
The following is a DFT calculation (PBE-GGA) of CsLi3Br4 after structural relaxation.

The structure in extended XYZ format:
```
16
Lattice="4.394 0.000 0.000 0.000 10.065 0.000 0.000 0.000 11.939" Properties=species:S:1:pos:R:3 pbc="T T T"
Li 0.000 9.675 2.306
Li 2.197 8.026 10.968
Li 0.000 1.343 9.633
Li 0.000 4.642 9.633
Li 2.197 2.994 0.971
Li 0.000 6.376 2.306
Cs 2.197 0.479 5.969
Cs 2.197 5.512 5.970
Br 2.197 5.956 9.476
Br 0.000 8.026 4.425
Br 2.197 5.062 2.464
Br 0.000 8.025 0.384
Br 0.000 2.993 11.555
Br 0.000 2.994 7.514
Br 2.197 0.924 2.463
Br 2.197 0.030 9.475
```

SG ... Pmma
Total magnetization ... 0.00 Bohr magnetons per cell
Crystal system ... orthorhombic

=====

Which structure is most stable? b, by 11 meV/atom over the runner-up.

=====

a.
The following is a DFT calculation (PBE-GGA) of Cs2LiNiBr6 after structural relaxation.

The structure in extended XYZ format:
```
10
Lattice="7.536 0.000 0.000 0.000 7.536 0.000 3.768 3.768 5.422" Properties=species:S:1:pos:R:3 pbc="T T T"
Cs 7.536 3.768 2.711
Cs 3.768 7.536 2.711
Br 5.735 5.735 0.000
Br 1.801 1.801 0.000
Br 7.536 7.536 2.449
Br 1.801 5.735 0.000
Br 3.768 3.768 2.973
Br 5.735 1.801 0.000
Li 3.768 3.768 0.000
Ni 0.000 0.000 0.000
```

SG ... I4/mmm
Total magnetization ... 1.00 Bohr magnetons per cell
Crystal system ... tetragonal

=====

b.
The following is a DFT calculation (PBE-GGA) of Cs2LiNiBr6 after structural relaxation.

The structure in extended XYZ format:
```
10
Lattice="6.518 0.000 0.000 0.000 7.619 0.000 0.000 -3.809 6.598" Properties=species:S:1:pos:R:3 pbc="T T T"
Br 1.461 5.864 1.013
Br 1.461 1.755 1.013
Br 5.057 0.000 2.027
Br 5.057 2.054 5.585
Br 5.057 -2.054 5.585
Br 1.461 3.809 4.572
Ni 0.000 0.000 0.000
Li 3.259 0.000 0.000
Cs 4.992 3.810 2.199
Cs 1.526 0.000 4.399
```

SG ... P-3m1
Total magnetization ... 1.00 Bohr magnetons per cell
Crystal system ... trigonal

=====

Which structure is most stable? b, by 55 meV/atom over the runner-up.

=====

a.
The following is a DFT calculation (PBE-GGA) of Cs2LiRuBr6 after structural relaxation.

The structure in extended XYZ format:
```
20
Lattice="7.660 0.000 0.000 3.830 6.634 0.000 3.830 2.211 12.729" Properties=species:S:1:pos:R:3 pbc="T T T"
Li 7.660 4.423 6.365
Li 0.000 0.000 0.000
Br 9.436 3.397 4.591
Br 9.479 5.473 1.632
Br 7.660 2.322 1.632
Br 9.436 5.448 8.138
Br 7.660 2.372 8.138
Br 9.479 3.372 11.097
Br 7.660 6.523 11.097
Br 5.841 3.372 11.097
Br 5.884 3.397 4.591
Br 5.841 5.473 1.632
Br 7.660 6.473 4.591
Br 5.884 5.448 8.138
Cs 11.490 6.634 11.171
Cs 3.830 2.211 8.095
Cs 11.490 6.634 4.635
Cs 3.830 2.211 1.558
Ru 7.660 4.423 3.100
Ru 7.660 4.423 9.629
```

SG ... R-3m
Total magnetization ... 2.02 Bohr magnetons per cell
Crystal system ... trigonal

=====

b.
The following is a DFT calculation (PBE-GGA) of Cs2LiRuBr6 after structural relaxation.

The structure in extended XYZ format:
```
10
Lattice="-2.393 1.947 6.966 -5.038 -5.713 -0.134 -0.038 -5.178 5.600" Properties=species:S:1:pos:R:3 pbc="T T T"
Cs -3.073 -2.557 7.991
Cs -4.396 -6.387 4.441
Br -4.411 -3.898 1.548
Br -1.761 -0.892 1.619
Br -5.670 -2.874 5.213
Br -5.693 -5.324 7.864
Br -1.776 -3.620 4.567
Br -3.020 0.132 5.283
Ru 0.000 0.000 0.000
Li -3.715 -1.883 3.416
```

SG ... I4/mmm
Total magnetization ... 1.00 Bohr magnetons per cell
Crystal system ... tetragonal

=====

Which structure is most stable? a, by 33 meV/atom over the runner-up.

=====

a.
The following is a DFT calculation (PBE-GGA) of Cs2LiSbBr6 after structural relaxation.

The structure in extended XYZ format:
```
10
Lattice="-2.456 -4.987 -5.691 4.789 -5.834 -2.515 -1.671 -7.569 1.793" Properties=species:S:1:pos:R:3 pbc="T T T"
Br 1.718 -11.289 -1.970
Br -0.666 -8.385 -0.718
Br -1.056 -7.100 -4.444
Br -1.888 -10.868 -3.551
Br 2.550 -7.522 -2.862
Br 1.327 -10.004 -5.695
Li 0.331 -9.195 -3.207
Cs 0.496 -13.792 -4.810
Cs 0.165 -4.597 -1.603
Sb 0.000 0.000 0.000
```

SG ... Fm-3m
Total magnetization ... 0.00 Bohr magnetons per cell
Crystal system ... cubic

=====

b.
The following is a DFT calculation (PBE-GGA) of Cs2LiSbBr6 after structural relaxation.

The structure in extended XYZ format:
```
20
Lattice="7.948 0.000 0.000 3.974 6.883 0.000 3.974 2.294 13.317" Properties=species:S:1:pos:R:3 pbc="T T T"
Br 7.948 2.300 1.644
Br 9.930 3.445 11.673
Br 7.948 6.821 4.936
Br 9.930 5.733 1.644
Br 6.015 5.705 8.382
Br 9.881 3.473 4.936
Br 9.881 5.705 8.382
Br 7.948 6.877 11.673
Br 5.966 5.733 1.644
Br 6.015 3.473 4.936
Br 7.948 2.357 8.382
Br 5.966 3.445 11.673
Cs 11.922 6.883 4.936
Cs 11.922 6.883 11.753
Cs 3.974 2.294 8.381
Cs 3.974 2.294 1.564
Li 7.948 4.589 3.269
Li 7.948 4.589 10.048
Sb 7.948 4.589 6.659
Sb 0.000 0.000 0.000
```

SG ... R-3m
Total magnetization ... 0.00 Bohr magnetons per cell
Crystal system ... trigonal

=====

Which structure is most stable? b, by 8 meV/atom over the runner-up.

=====

a.
The following is a DFT calculation (PBE-GGA) of Cs2MgBr2 after structural relaxation.

The structure in extended XYZ format:
```
5
Lattice="-4.183 -3.975 3.748 4.452 0.254 5.240 -3.235 4.112 7.067" Properties=species:S:1:pos:R:3 pbc="T T T"
Cs -1.813 -0.030 10.577
Cs -1.153 0.422 5.477
Br 0.676 1.253 8.400
Br -3.642 -0.861 7.654
Mg 0.000 0.000 0.000
```

SG ... I4/mmm
Total magnetization ... 0.00 Bohr magnetons per cell
Crystal system ... tetragonal

=====

b.
The following is a DFT calculation (PBE-GGA) of Cs2MgBr2 after structural relaxation.

The structure in extended XYZ format:
```
10
Lattice="-2.565 -9.653 2.480 3.748 1.438 9.476 -3.961 1.400 1.354" Properties=species:S:1:pos:R:3 pbc="T T T"
Mg 0.591 -4.107 5.978
Mg 0.000 0.000 0.000
Cs 0.971 -0.867 3.737
Cs -1.113 -6.002 2.950
Cs 2.296 -2.213 9.006
Cs 0.212 -7.348 8.219
Br -2.852 -6.977 6.066
Br -0.481 -4.385 10.323
Br 0.075 0.162 7.244
Br -2.297 -2.430 2.987
```

SG ... P4/mbm
Total magnetization ... 0.00 Bohr magnetons per cell
Crystal system ... tetragonal

=====

Which structure is most stable? b, by 49 meV/atom over the runner-up.